Entry 1:
First-principles (PBE-GGA) data for LiYTc2O8 after structural relaxation, as listed in Alexandria.

**Crystal system**: tetragonal

Unit cell a=6.7534 b=6.7534 c=6.7534 alpha=135.02 beta=135.02 gamma=65.49
With the nearest neighbours (Å) after each atom.
Atoms (fractional coordinates):
Li 0.0000 0.0000 0.0000  8 O 2.40-2.46
Y 0.2500 0.7500 0.5000  8 O 2.35-2.42
Tc 0.5000 0.5000 0.0000  4 O 1.80
Tc 0.7500 0.2500 0.5000  4 O 1.80
O 0.2610 0.6666 0.0954  1 Tc 1.80
O 0.3334 0.4288 0.5944  1 Tc 1.80
O 0.4164 0.0080 0.0846  1 Tc 1.80
O 0.5712 0.1656 0.9046  1 Tc 1.80
O 0.6682 0.5836 0.5916  1 Tc 1.80
O 0.8344 0.7390 0.4056  1 Tc 1.80
O 0.9234 0.3318 0.9154  1 Tc 1.80
O 0.9920 0.0766 0.4084  1 Tc 1.80

***

Entry 2:
First-principles (PBE-GGA) data for LiZnTc2O8 after structural relaxation, as listed in Alexandria.

**Crystal system**: tetragonal

Unit cell a=6.0364 b=6.0364 c=6.0364 alpha=116.20 beta=116.20 gamma=96.73
With the nearest neighbours (Å) after each atom.
Atoms (fractional coordinates):
Li 0.0000 0.0000 0.0000  4 O 2.03
Zn 0.7500 0.2500 0.5000  4 O 1.99
Tc 0.2500 0.7500 0.5000  4 O 1.74
Tc 0.5000 0.5000 0.0000  4 O 1.79
O 0.1242 0.4014 0.2772  1 Tc 1.74
O 0.1242 0.8470 0.7228  1 Tc 1.74
O 0.1426 0.3712 0.7714  1 Tc 1.79, 1 Zn 1.99
O 0.1530 0.8758 0.2772  1 Tc 1.74
O 0.5986 0.8758 0.7228  1 Tc 1.74
O 0.5997 0.3712 0.2286  1 Tc 1.79, 1 Zn 1.99
O 0.6288 0.4003 0.7714  1 Tc 1.79, 1 Zn 1.99
O 0.6288 0.8574 0.2286  1 Tc 1.79, 1 Zn 1.99

***

Entry 3:
First-principles (PBE-GGA) data for LiZnTcO2 after structural relaxation, as listed in Alexandria.

**Crystal system**: tetragonal

Unit cell a=3.9325 b=3.9325 c=4.8810 alpha=90.00 beta=90.00 gamma=90.00
With the nearest neighbours (Å) after each atom.
Atoms (fractional coordinates):
Li 0.0000 0.0000 0.0000  4 Tc 2.78
Zn 0.5000 0.5000 0.5000  4 O 1.97
Tc 0.5000 0.5000 0.0000  2 Zn 2.44
O 0.0000 0.5000 0.5000  2 Zn 1.97
O 0.5000 0.0000 0.5000  2 Zn 1.97

***

Entry 4:
First-principles (PBE-GGA) data for LiZrTc2O after structural relaxation, as listed in Alexandria.

**Crystal system**: tetragonal

Unit cell a=4.5888 b=4.5888 c=3.3554 alpha=90.00 beta=90.00 gamma=90.00
With the nearest neighbours (Å) after each atom.
Atoms (fractional coordinates):
Li 0.0000 0.0000 0.0000  2 O 1.68
Zr 0.5000 0.5000 0.5000  8 Tc 2.84
Tc 0.0000 0.5000 0.0000  2 Li 2.29
Tc 0.5000 0.0000 0.0000  2 Li 2.29
O 0.0000 0.0000 0.5000  2 Li 1.68

***

Entry 5:
First-principles (PBE-GGA) data for Li2ZrTcO6 after structural relaxation, as listed in Alexandria.

**Crystal system**: tetragonal

Unit cell a=5.5930 b=5.5930 c=4.2772 alpha=90.00 beta=90.00 gamma=90.00
With the nearest neighbours (Å) after each atom.
Atoms (fractional coordinates):
Li 0.0000 0.5000 0.0000  4 O 2.10
Li 0.5000 0.0000 0.0000  4 O 2.10
Zr 0.0000 0.0000 0.7539  5 O 1.94-2.13
Tc 0.5000 0.5000 0.7200  1 O 1.70
O 0.0000 0.0000 0.3012  1 Zr 1.94
O 0.2659 0.2659 0.8349  1 Tc 1.92, 2 Li 2.10, 1 Zr 2.13
O 0.2659 0.7341 0.8349  1 Tc 1.92, 2 Li 2.10, 1 Zr 2.13
O 0.5000 0.5000 0.3231  1 Tc 1.70
O 0.7341 0.2659 0.8349  1 Tc 1.92, 2 Li 2.10, 1 Zr 2.13
O 0.7341 0.7341 0.8349  1 Tc 1.92, 2 Li 2.10, 1 Zr 2.13

***

Entry 6:
First-principles (PBE-GGA) data for Li2Te2O5 after structural relaxation, as listed in Alexandria.

**Crystal system**: orthorhombic
**Energy above the lowest structure with this stoichiometry**: 0 meV per atom

Unit cell a=8.5084 b=24.5347 c=5.3135 alpha=90.00 beta=90.00 gamma=90.00
With the nearest neighbours (Å) after each atom.
Atoms (fractional coordinates):
Li 0.1537 0.0815 0.1303  4 O 1.98-2.00
Li 0.1537 0.4185 0.6303  4 O 1.98-2.00
Li 0.1600 0.1688 0.8154  4 O 1.98-2.14
Li 0.1600 0.3312 0.3154  4 O 1.98-2.14
Li 0.3400 0.1688 0.3154  4 O 1.98-2.14
Li 0.3400 0.3312 0.8154  4 O 1.98-2.14
Li 0.3463 0.0815 0.6303  4 O 1.98-2.00
Li 0.3463 0.4185 0.1303  4 O 1.98-2.00
Li 0.6537 0.5815 0.8697  4 O 1.98-2.00
Li 0.6537 0.9185 0.3697  4 O 1.98-2.00
Li 0.6600 0.6688 0.1846  4 O 1.98-2.14
Li 0.6600 0.8312 0.6846  4 O 1.98-2.14
Li 0.8400 0.6688 0.6846  4 O 1.98-2.14
Li 0.8400 0.8312 0.1846  4 O 1.98-2.14
Li 0.8463 0.5815 0.3697  4 O 1.98-2.00
Li 0.8463 0.9185 0.8697  4 O 1.98-2.00
Te 0.0560 0.6943 0.1775  3 O 1.87-1.99
Te 0.0560 0.8057 0.6775  3 O 1.87-1.99
Te 0.0659 0.5572 0.8682  3 O 1.88-2.00
Te 0.0659 0.9428 0.3682  3 O 1.88-2.00
Te 0.4341 0.5572 0.3682  3 O 1.88-2.00
Te 0.4341 0.9428 0.8682  3 O 1.88-2.00
Te 0.4440 0.6943 0.6775  3 O 1.87-1.99
Te 0.4440 0.8057 0.1775  3 O 1.87-1.99
Te 0.5560 0.1943 0.8225  3 O 1.87-1.99
Te 0.5560 0.3057 0.3225  3 O 1.87-1.99
Te 0.5659 0.0572 0.1318  3 O 1.88-2.00
Te 0.5659 0.4428 0.6318  3 O 1.88-2.00
Te 0.9341 0.0572 0.6318  3 O 1.88-2.00
Te 0.9341 0.4428 0.1318  3 O 1.88-2.00
Te 0.9440 0.1943 0.3225  3 O 1.87-1.99
Te 0.9440 0.3057 0.8225  3 O 1.87-1.99
O 0.0018 0.0335 0.3049  1 Te 1.92, 1 Li 1.98
O 0.0018 0.4665 0.8049  1 Te 1.92, 1 Li 1.98
O 0.0314 0.2216 0.6251  1 Te 1.89, 1 Li 1.98
O 0.0314 0.2784 0.1251  1 Te 1.89, 1 Li 1.98
O 0.1230 0.1614 0.1842  1 Te 1.87, 3 Li 1.98-2.00
O 0.1230 0.3386 0.6842  1 Te 1.87, 3 Li 1.98-2.00
O 0.1263 0.0833 0.7585  1 Te 1.88, 2 Li 1.99
O 0.1263 0.4167 0.2586  1 Te 1.88, 2 Li 1.99
O 0.1414 0.6282 0.0107  2 Te 1.99-2.00
O 0.1414 0.8718 0.5107  2 Te 1.99-2.00
O 0.3586 0.6282 0.5107  2 Te 1.99-2.00
O 0.3586 0.8718 0.0107  2 Te 1.99-2.00
O 0.3737 0.0833 0.2586  1 Te 1.88, 2 Li 1.99
O 0.3737 0.4167 0.7585  1 Te 1.88, 2 Li 1.99
O 0.3770 0.1614 0.6842  1 Te 1.87, 3 Li 1.98-2.00
O 0.3770 0.3386 0.1842  1 Te 1.87, 3 Li 1.98-2.00
O 0.4686 0.2216 0.1251  1 Te 1.89, 1 Li 1.98
O 0.4686 0.2784 0.6251  1 Te 1.89, 1 Li 1.98
O 0.4982 0.0335 0.8049  1 Te 1.92, 1 Li 1.98
O 0.4982 0.4665 0.3049  1 Te 1.92, 1 Li 1.98
O 0.5018 0.5335 0.6951  1 Te 1.92, 1 Li 1.98
O 0.5018 0.9665 0.1951  1 Te 1.92, 1 Li 1.98
O 0.5314 0.7216 0.3749  1 Te 1.89, 1 Li 1.98
O 0.5314 0.7784 0.8749  1 Te 1.89, 1 Li 1.98
O 0.6230 0.6614 0.8158  1 Te 1.87, 3 Li 1.98-2.00
O 0.6230 0.8386 0.3158  1 Te 1.87, 3 Li 1.98-2.00
O 0.6263 0.5833 0.2414  1 Te 1.88, 2 Li 1.99
O 0.6263 0.9167 0.7415  1 Te 1.88, 2 Li 1.99
O 0.6414 0.1282 0.9893  2 Te 1.99-2.00
O 0.6414 0.3718 0.4893  2 Te 1.99-2.00
O 0.8586 0.1282 0.4893  2 Te 1.99-2.00
O 0.8586 0.3718 0.9893  2 Te 1.99-2.00
O 0.8737 0.5833 0.7415  1 Te 1.88, 2 Li 1.99
O 0.8737 0.9167 0.2414  1 Te 1.88, 2 Li 1.99
O 0.8770 0.6614 0.3158  1 Te 1.87, 3 Li 1.98-2.00
O 0.8770 0.8386 0.8158  1 Te 1.87, 3 Li 1.98-2.00
O 0.9686 0.7216 0.8749  1 Te 1.89, 1 Li 1.98
O 0.9686 0.7784 0.3749  1 Te 1.89, 1 Li 1.98
O 0.9982 0.5335 0.1951  1 Te 1.92, 1 Li 1.98
O 0.9982 0.9665 0.6951  1 Te 1.92, 1 Li 1.98

***

Entry 7:
First-principles (PBE-GGA) data for LiTe2O6 after structural relaxation, as listed in Alexandria.

**Crystal system**: monoclinic
**Energy above the lowest structure with this stoichiometry**: 116 meV per atom

Unit cell a=5.4711 b=5.4711 c=6.8354 alpha=116.08 beta=116.08 gamma=42.71
With the nearest neighbours (Å) after each atom.
Atoms (fractional coordinates):
Li 0.0000 0.0000 0.0000  2 O 2.13
Te 0.1785 0.1785 0.6370  2 O 1.83-1.95
Te 0.8215 0.8215 0.3630  2 O 1.83-1.95
O 0.0085 0.0085 0.6940  2 Te 1.95-2.16, 1 Li 2.13
O 0.3013 0.3013 0.4362  3 Te 2.09-2.25
O 0.3421 0.3421 0.9123  1 Te 1.83
O 0.6579 0.6579 0.0877  1 Te 1.83
O 0.6987 0.6987 0.5638  3 Te 2.09-2.25
O 0.9915 0.9915 0.3060  2 Te 1.95-2.16, 1 Li 2.13

***

Entry 8:
First-principles (PBE-GGA) data for Li3TeO after structural relaxation, as listed in Alexandria.

**Crystal system**: cubic
**Energy above the lowest structure with this stoichiometry**: 57 meV per atom

Unit cell a=4.1186 b=4.1186 c=4.1186 alpha=90.00 beta=90.00 gamma=90.00
With the nearest neighbours (Å) after each atom.
Atoms (fractional coordinates):
Li 0.0000 0.0000 0.5000  2 O 2.06
Li 0.0000 0.5000 0.0000  2 O 2.06
Li 0.5000 0.0000 0.0000  2 O 2.06
Te 0.5000 0.5000 0.5000  12 Li 2.91
O 0.0000 0.0000 0.0000  6 Li 2.06

***

Entry 9:
First-principles (PBE-GGA) data for Li6Te2O9 after structural relaxation, as listed in Alexandria.

**Crystal system**: triclinic

Unit cell a=5.9736 b=8.4165 c=16.3765 alpha=88.22 beta=81.91 gamma=73.83
With the nearest neighbours (Å) after each atom.
Atoms (fractional coordinates):
Li 0.0066 0.3878 0.2269  5 O 1.95-2.15
Li 0.0900 0.6489 0.4943  4 O 1.98-2.05
Li 0.1469 0.6545 0.3336  4 O 1.93-2.00
Li 0.1791 0.5177 0.9436  3 O 1.93-2.08
Li 0.1940 0.1503 0.7241  5 O 1.98-2.06
Li 0.2172 0.1798 0.9541  3 O 1.96-2.08
Li 0.2988 0.8789 0.2718  4 O 1.99-2.10
Li 0.3056 0.8650 0.0108  3 O 1.89-1.98
Li 0.3521 0.3264 0.4381  3 O 1.95-2.02
Li 0.3611 0.9857 0.4424  3 O 1.97-2.13
Li 0.3957 0.1622 0.1401  3 O 1.95-2.00
Li 0.4477 0.6216 0.7688  4 O 1.95-2.09
Li 0.5523 0.3784 0.2312  4 O 1.95-2.09
Li 0.6043 0.8378 0.8599  3 O 1.95-2.00
Li 0.6389 0.0143 0.5576  3 O 1.97-2.13
Li 0.6479 0.6736 0.5619  3 O 1.95-2.02
Li 0.6944 0.1350 0.9892  3 O 1.89-1.98
Li 0.7012 0.1211 0.7282  4 O 1.99-2.10
Li 0.7828 0.8202 0.0459  3 O 1.96-2.08
Li 0.8060 0.8497 0.2759  5 O 1.98-2.06
Li 0.8209 0.4823 0.0564  3 O 1.93-2.08
Li 0.8531 0.3455 0.6664  4 O 1.93-2.00
Li 0.9100 0.3511 0.5057  4 O 1.98-2.05
Li 0.9934 0.6122 0.7731  5 O 1.95-2.15
Te 0.0581 0.9040 0.8459  6 O 1.89-2.06
Te 0.1206 0.8758 0.6420  5 O 1.88-2.08
Te 0.2684 0.6278 0.1368  5 O 1.89-2.00
Te 0.3454 0.4012 0.6355  5 O 1.86-2.03
Te 0.6546 0.5988 0.3645  5 O 1.86-2.03
Te 0.7316 0.3722 0.8632  5 O 1.89-2.00
Te 0.8794 0.1242 0.3580  5 O 1.88-2.08
Te 0.9419 0.0960 0.1541  6 O 1.89-2.06
O 0.0171 0.8947 0.3568  1 Te 1.88, 3 Li 1.98-2.06
O 0.0632 0.6370 0.0558  1 Te 1.92, 2 Li 1.96-2.06
O 0.0642 0.8486 0.1793  2 Te 2.00-2.06, 1 Li 2.05
O 0.0878 0.1856 0.4196  1 Te 1.89, 2 Li 1.98-2.06
O 0.0954 0.3947 0.7209  1 Te 1.91, 3 Li 1.94-1.98
O 0.1326 0.1247 0.2422  2 Te 2.02-2.25, 3 Li 2.10-2.21
O 0.1753 0.4196 0.5469  1 Te 1.86, 3 Li 2.00-2.05
O 0.1750 0.6722 0.8541  1 Te 1.89, 3 Li 1.93-1.99
O 0.2054 0.0747 0.0706  1 Te 1.91, 3 Li 1.95-2.08
O 0.2594 0.6392 0.6753  2 Li 2.00-2.15, 2 Te 2.02-2.03
O 0.2819 0.9560 0.9045  3 Li 1.89-1.99, 1 Te 1.90
O 0.2901 0.9048 0.7412  1 Li 2.01, 2 Te 2.05-2.08
O 0.3021 0.4012 0.1573  1 Te 1.89, 3 Li 1.95-2.02
O 0.3660 0.5588 0.4094  1 Te 1.89, 3 Li 1.93-2.02
O 0.3799 0.8682 0.5595  1 Te 1.90, 1 Li 1.95
O 0.3988 0.6338 0.2373  1 Te 1.92, 3 Li 2.00-2.09
O 0.4729 0.1714 0.6472  1 Te 1.89, 3 Li 1.97-1.99
O 0.4867 0.3235 0.9365  1 Te 1.89, 2 Li 1.98-2.08
O 0.5133 0.6765 0.0635  1 Te 1.89, 2 Li 1.98-2.08
O 0.5271 0.8286 0.3528  1 Te 1.89, 3 Li 1.97-1.99
O 0.6012 0.3662 0.7627  1 Te 1.92, 3 Li 2.00-2.09
O 0.6201 0.1318 0.4405  1 Te 1.90, 1 Li 1.95
O 0.6340 0.4412 0.5906  1 Te 1.89, 3 Li 1.93-2.02
O 0.6979 0.5988 0.8427  1 Te 1.89, 3 Li 1.95-2.02
O 0.7099 0.0952 0.2588  1 Li 2.01, 2 Te 2.05-2.08
O 0.7181 0.0440 0.0955  3 Li 1.89-1.99, 1 Te 1.90
O 0.7406 0.3608 0.3247  2 Li 2.00-2.15, 2 Te 2.02-2.03
O 0.7946 0.9253 0.9294  1 Te 1.91, 3 Li 1.95-2.08
O 0.8250 0.3278 0.1459  1 Te 1.89, 3 Li 1.93-1.99
O 0.8247 0.5804 0.4531  1 Te 1.86, 3 Li 2.00-2.05
O 0.8674 0.8753 0.7578  2 Te 2.02-2.25, 3 Li 2.10-2.21
O 0.9046 0.6053 0.2791  1 Te 1.91, 3 Li 1.94-1.98
O 0.9122 0.8144 0.5804  1 Te 1.89, 2 Li 1.98-2.06
O 0.9358 0.1514 0.8207  2 Te 2.00-2.06, 1 Li 2.05
O 0.9368 0.3630 0.9442  1 Te 1.92, 2 Li 1.96-2.06
O 0.9829 0.1053 0.6432  1 Te 1.88, 3 Li 1.98-2.06

***

Entry 10:
First-principles (PBE-GGA) data for Li4TeO after structural relaxation, as listed in Alexandria.

**Crystal system**: monoclinic

Unit cell a=4.4848 b=4.4848 c=5.6548 alpha=98.67 beta=98.67 gamma=87.18
With the nearest neighbours (Å) after each atom.
Atoms (fractional coordinates):
Li 0.1424 0.1424 0.2174  1 O 1.85
Li 0.2539 0.4516 0.7889  1 O 1.85
Li 0.5484 0.7461 0.2111  1 O 1.85
Li 0.8576 0.8576 0.7826  1 O 1.85
Te 0.6974 0.3026 0.5000  8 Li 2.74-2.82
O 0.1990 0.8010 0.0000  4 Li 1.85

***

Entry 11:
First-principles (PBE-GGA) data for Li2TeO3 after structural relaxation, as listed in Alexandria.

**Crystal system**: monoclinic

Unit cell a=5.4756 b=5.4756 c=7.8815 alpha=92.31 beta=92.31 gamma=122.41
With the nearest neighbours (Å) after each atom.
Atoms (fractional coordinates):
Li 0.0455 0.3599 0.1176  4 O 1.94-2.04
Li 0.3599 0.0455 0.1176  4 O 1.94-2.04
Li 0.6401 0.9545 0.8824  4 O 1.94-2.04
Li 0.9545 0.6401 0.8824  4 O 1.94-2.04
Te 0.2683 0.2683 0.7221  3 O 1.88-1.89
Te 0.7317 0.7317 0.2779  3 O 1.88-1.89
O 0.0215 0.3219 0.8581  1 Te 1.89, 3 Li 1.97-2.04
O 0.3219 0.0215 0.8581  1 Te 1.89, 3 Li 1.97-2.04
O 0.3768 0.3768 0.2306  1 Te 1.88, 2 Li 1.94
O 0.6232 0.6232 0.7694  1 Te 1.88, 2 Li 1.94
O 0.6781 0.9785 0.1419  1 Te 1.89, 3 Li 1.97-2.04
O 0.9785 0.6781 0.1419  1 Te 1.89, 3 Li 1.97-2.04

***

Entry 12:
First-principles (PBE-GGA) data for LiTeO after structural relaxation, as listed in Alexandria.

**Crystal system**: triclinic
**Energy above the lowest structure with this stoichiometry**: 18 meV per atom

Unit cell a=4.0122 b=5.7351 c=5.8464 alpha=75.37 beta=71.22 gamma=89.95
With the nearest neighbours (Å) after each atom.
Atoms (fractional coordinates):
Li 0.0000 0.0000 0.0000  2 O 1.99-2.01
Li 0.3094 0.9191 0.4319  2 O 1.86-1.88
Te 0.4740 0.6136 0.9701  2 O 1.92-1.94
Te 0.8877 0.3319 0.3562  1 Te 2.83, 3 Li 2.93-3.16
O 0.2003 0.7895 0.7749  2 Li 1.86-1.99, 1 Te 1.94
O 0.4875 0.8846 0.1040  2 Li 1.88-2.01, 1 Te 1.92

***

Entry 13:
First-principles (PBE-GGA) data for LiTe2O after structural relaxation, as listed in Alexandria.

**Crystal system**: tetragonal

Unit cell a=7.9531 b=7.9531 c=7.9531 alpha=136.10 beta=136.10 gamma=63.83
With the nearest neighbours (Å) after each atom.
Atoms (fractional coordinates):
Li 0.0000 0.0000 0.0000  4 Te 3.48
Li 0.7500 0.2500 0.5000  4 Te 3.48
Te 0.3214 0.6250 0.1964  2 O 2.27
Te 0.3750 0.5714 0.6964  2 O 2.27
Te 0.4286 0.1250 0.8036  2 O 2.27
Te 0.8750 0.6786 0.3036  2 O 2.27
O 0.2500 0.7500 0.5000  4 Te 2.27
O 0.5000 0.5000 0.0000  4 Te 2.27

***

Entry 14:
First-principles (PBE-GGA) data for Li2Te2O5 after structural relaxation, as listed in Alexandria.

**Crystal system**: orthorhombic
**Energy above the lowest structure with this stoichiometry**: 57 meV per atom

Unit cell a=8.3019 b=8.3019 c=8.3019 alpha=74.11 beta=138.45 gamma=121.70
With the nearest neighbours (Å) after each atom.
Atoms (fractional coordinates):
Li 0.0000 0.0000 0.0000  4 O 1.99-2.01
Li 0.0000 0.5000 0.5000  4 O 1.99-2.01
Li 0.0475 0.2146 0.3329  3 O 1.93-1.97
Li 0.8817 0.7146 0.6671  3 O 1.93-1.97
Te 0.6210 0.0249 0.3519  2 O 1.87-1.91
Te 0.6210 0.7690 0.0961  2 O 1.87-1.91
Te 0.6729 0.2690 0.6481  2 O 1.87-1.91
Te 0.6729 0.5249 0.9039  2 O 1.87-1.91
O 0.4140 0.1624 0.3092  1 Te 1.91, 1 Li 2.01
O 0.4140 0.6048 0.7517  1 Te 1.91, 1 Li 2.01
O 0.4541 0.3900 0.5641  1 Li 1.97, 2 Te 2.11
O 0.8256 0.0049 0.0770  1 Te 1.87, 2 Li 1.93-1.99
O 0.8256 0.2486 0.3207  1 Te 1.87, 2 Li 1.93-1.99
O 0.8259 0.8900 0.4359  1 Li 1.97, 2 Te 2.11
O 0.8532 0.1048 0.6908  1 Te 1.91, 1 Li 2.01
O 0.8532 0.6624 0.2483  1 Te 1.91, 1 Li 2.01
O 0.9279 0.5049 0.6793  1 Te 1.87, 2 Li 1.93-1.99
O 0.9279 0.7486 0.9230  1 Te 1.87, 2 Li 1.93-1.99

***

E_tot
In order: -7.6147; -6.6805; -4.1277; -6.7230; -7.3068; -5.3355; -5.1596; -3.9923; -5.2506; -3.8707; -5.3090; -4.4894; -3.5463; -5.2788
Unit: eV/atom
Formation energy (no corrections)
In order: -1.883; -1.382; 0.566; 0.507; -2.058; -1.458; -0.943; -1.224; -1.581; -1.245; -1.668; -1.151; -0.257; -1.401
Unit: eV per atom